Sm6Ge3AsSe2 after structural relaxation, computed with PBE-GGA.

Summary:
The calculation puts the total energy at -69.42 eV per cell. Its symmetry is No. 12. The value obtained for the total magnetic moment is 0.0 μB/cell. The calculation puts the volume at 320 Å³ per cell. Its density of states at the Fermi level is 0.5294 states/eV per atom. The calculation puts the energy relative to the elements, uncorrected at -1.30 eV per atom.

abc: 4.182 8.530 9.496
angles: 104.30 102.72 90.00
Fractional positions:
1 Se 0.167 0.334 0.334
2 Se 0.833 0.666 0.666
3 Sm 0.001 0.753 0.002
4 Sm 0.335 0.413 0.669
5 Sm 0.999 0.247 0.998
6 Sm 0.666 0.079 0.333
7 Sm 0.665 0.587 0.331
8 Sm 0.334 0.921 0.667
9 As 0.500 0.000 0.000
10 Ge 0.832 0.167 0.665
11 Ge 0.500 0.500 0.000
12 Ge 0.168 0.833 0.335